Below is a geometry-optimized AlTe2O5 structure, with properties calculated at the PBE-GGA level.

a = 5.395 Å, b = 8.069 Å, c = 10.358 Å
α = 90.00°, β = 90.00°, γ = 90.00°
Fractional coordinates of all 32 atoms:
Te1 0.525 0.855 0.354
Te2 0.475 0.145 0.646
Te3 0.025 0.645 0.146
Te4 0.475 0.355 0.146
Te5 0.975 0.145 0.354
Te6 0.025 0.855 0.646
Te7 0.525 0.645 0.854
Te8 0.975 0.355 0.854
O1 0.448 0.879 0.935
O2 0.948 0.879 0.065
O3 0.164 0.167 0.196
O4 0.250 0.500 0.935
O5 0.750 0.000 0.565
O6 0.336 0.833 0.196
O7 0.750 0.500 0.065
O8 0.052 0.121 0.935
O9 0.664 0.167 0.804
O10 0.250 0.000 0.435
O11 0.552 0.379 0.565
O12 0.336 0.667 0.696
O13 0.836 0.667 0.304
O14 0.052 0.379 0.435
O15 0.948 0.621 0.565
O16 0.448 0.621 0.435
O17 0.552 0.121 0.065
O18 0.664 0.333 0.304
O19 0.836 0.833 0.804
O20 0.164 0.333 0.696
Al1 0.750 0.500 0.439
Al2 0.250 0.500 0.561
Al3 0.250 0.000 0.061
Al4 0.750 0.000 0.939

Computed properties:
formation energy (no corrections)	-1.3983	eV per atom
calculated volume	451	Å³ per cell

***

Below is a geometry-optimized Pm2SiGe6 structure, with properties calculated at the PBE-GGA level.

a = 4.296 Å, b = 6.877 Å, c = 7.783 Å
α = 116.22°, β = 87.48°, γ = 90.00°
Fractional coordinates of all 9 atoms:
Ge1 0.981 0.655 0.683
Ge2 0.500 0.211 0.000
Ge3 0.500 0.789 0.000
Ge4 0.981 0.028 0.683
Ge5 0.019 0.345 0.317
Ge6 0.019 0.972 0.317
Pm1 0.490 0.321 0.642
Pm2 0.510 0.679 0.358
Si1 0.000 0.000 0.000

Computed properties:
formation energy (no corrections)	-0.2054	eV per atom
calculated volume	206	Å³ per cell

***

Below is a geometry-optimized LiPmSmFe structure, with properties calculated at the PBE-GGA level.

a = 4.989 Å, b = 4.989 Å, c = 4.989 Å
α = 60.00°, β = 60.00°, γ = 60.00°
Fractional coordinates of all 4 atoms:
Li1 0.500 0.500 0.500
Pm1 0.250 0.250 0.250
Sm1 0.750 0.750 0.750
Fe1 0.000 0.000 0.000

Computed properties:
E_form	15.03	kJ per mole of atoms
calculated volume	88	Å³ per cell

***

Below is a geometry-optimized MgZnPt2 structure, with properties calculated at the PBE-GGA level.

a = 4.996 Å, b = 4.996 Å, c = 4.996 Å
α = 134.77°, β = 134.77°, γ = 65.89°
Fractional coordinates of all 4 atoms:
Zn1 0.500 0.500 0.000
Pt1 0.250 0.750 0.500
Pt2 0.000 0.000 0.000
Mg1 0.750 0.250 0.500

Computed properties:
E_form	-58.34	kJ per mole of atoms
calculated volume	62	Å³ per cell

***

Below is a geometry-optimized HoMg2In9 structure, with properties calculated at the PBE-GGA level.

a = 4.638 Å, b = 4.638 Å, c = 13.889 Å
α = 90.00°, β = 90.00°, γ = 90.00°
Fractional coordinates of all 12 atoms:
In1 0.500 0.500 0.000
In2 0.500 0.000 0.500
In3 0.500 0.000 0.170
In4 0.500 0.500 0.333
In5 0.500 0.500 0.667
In6 0.500 0.000 0.830
In7 0.000 0.500 0.170
In8 0.000 0.500 0.830
In9 0.000 0.500 0.500
Ho1 0.000 0.000 0.000
Mg1 0.000 0.000 0.669
Mg2 0.000 0.000 0.331

Computed properties:
E_form	-13.79	kJ per mole of atoms
calculated volume	299	Å³ per cell

***

Below is a geometry-optimized Ce5Cr2S12 structure, with properties calculated at the PBE-GGA level.

a = 6.998 Å, b = 8.397 Å, c = 8.622 Å
α = 105.11°, β = 90.00°, γ = 114.62°
Fractional coordinates of all 19 atoms:
S1 0.587 0.672 0.916
S2 0.401 0.303 0.573
S3 0.599 0.697 0.427
S4 0.413 0.328 0.084
S5 0.086 0.672 0.916
S6 0.497 0.995 0.803
S7 0.902 0.303 0.573
S8 0.914 0.328 0.084
S9 0.098 0.697 0.427
S10 0.001 0.002 0.815
S11 0.999 0.998 0.185
S12 0.503 0.005 0.197
Ce1 0.305 0.610 0.654
Ce2 0.314 0.628 0.155
Ce3 0.695 0.390 0.346
Ce4 0.000 0.000 0.500
Ce5 0.686 0.372 0.845
Cr1 0.752 0.000 0.000
Cr2 0.248 0.000 0.000

Computed properties:
formation energy (no corrections)	-1.5730	eV per atom
calculated volume	441	Å³ per cell

***

Below is a geometry-optimized Rb2ZnClF6 structure, with properties calculated at the PBE-GGA level.

a = 5.948 Å, b = 5.948 Å, c = 6.498 Å
α = 62.76°, β = 62.76°, γ = 90.00°
Fractional coordinates of all 10 atoms:
F1 0.248 0.248 0.000
F2 0.807 0.807 0.387
F3 0.752 0.752 0.000
F4 0.248 0.752 0.000
F5 0.752 0.248 0.000
F6 0.193 0.193 0.613
Cl1 0.500 0.500 0.000
Rb1 0.750 0.250 0.500
Rb2 0.250 0.750 0.500
Zn1 0.000 0.000 0.000

Computed properties:
formation energy (no corrections)	-1.8693	eV per atom
calculated volume	175	Å³ per cell

***

Below is a geometry-optimized AlPb2IO structure, with properties calculated at the PBE-GGA level.

a = 6.151 Å, b = 3.568 Å, c = 6.151 Å
α = 90.00°, β = 90.00°, γ = 90.00°
Fractional coordinates of all 5 atoms:
O1 0.000 0.000 0.000
Al1 0.000 0.500 0.000
Pb1 0.000 0.000 0.500
Pb2 0.500 0.000 0.000
I1 0.500 0.500 0.500

Computed properties:
formation energy (no corrections)	-0.4459	eV per atom
calculated volume	135	Å³ per cell